# AgOs PBE optimized geometry
data_AgOs
_symmetry_space_group_name_H-M 'F m -3 m'
_symmetry_Int_Tables_number 225
_symmetry_space_group_name_Hall '-F 4 2 3'
_cell_length_a 5.329
_cell_length_b 5.329
_cell_length_c 5.329
_cell_angle_alpha 90.00
_cell_angle_beta 90.00
_cell_angle_gamma 90.00
loop_
_atom_site_label
_atom_site_type_symbol
_atom_site_fract_x
_atom_site_fract_y
_atom_site_fract_z
Ag1 Ag 0.000 0.000 0.000
Os1 Os 0.000 0.000 0.500
# D(E_F) (states/eV per atom): 1.02

# AgOs2 PBE optimized geometry
data_AgOs2
_symmetry_space_group_name_H-M 'P n m a'
_symmetry_Int_Tables_number 62
_symmetry_space_group_name_Hall '-P 2ac 2n'
_cell_length_a 5.536
_cell_length_b 3.967
_cell_length_c 8.480
_cell_angle_alpha 90.00
_cell_angle_beta 90.00
_cell_angle_gamma 90.00
loop_
_atom_site_label
_atom_site_type_symbol
_atom_site_fract_x
_atom_site_fract_y
_atom_site_fract_z
Ag1 Ag 0.108 0.250 0.083
Os1 Os 0.101 0.250 0.412
Os2 Os 0.115 0.250 0.722
# D(E_F) (states/eV per atom): 1.08

# AgOs PBE optimized geometry
data_AgOs
_symmetry_space_group_name_H-M 'C 1 m 1'
_symmetry_Int_Tables_number 8
_symmetry_space_group_name_Hall 'C -2y'
_cell_length_a 12.944
_cell_length_b 2.775
_cell_length_c 5.650
_cell_angle_alpha 90.00
_cell_angle_beta 104.49
_cell_angle_gamma 90.00
loop_
_atom_site_label
_atom_site_type_symbol
_atom_site_fract_x
_atom_site_fract_y
_atom_site_fract_z
Ag1 Ag 0.000 0.000 0.000
Ag2 Ag 0.025 0.000 0.534
Ag3 Ag 0.169 0.500 0.312
Os1 Os 0.222 0.500 0.846
Os2 Os 0.339 0.000 0.634
Os3 Os 0.342 0.000 0.194
# D(E_F) (states/eV per atom): 0.79

Record-wise density values, in g/cm³: 13.1; 17.4; 15.1
Record-wise E values, in eV per atom: -4.92; -7.69; -6.44
Record-wise V values, in Å³/atom: 18.92; 15.52; 16.38